Compound: NiW2Au
Source: the Alexandria database
Functional: meta-GGA SCAN
Structure: PBEsol geometry

abc: 2.7662 2.7662 26.9279
angles: 90.00 90.00 120.00
Closest atoms and distances in Å follow each position.
Fractional positions:
Ni  0.0000  0.0000  0.0000  3 W 2.55, 3 Au 2.70, 6 Ni 2.77
Ni  0.3333  0.6667  0.6667  3 W 2.55, 3 Au 2.70, 6 Ni 2.77
Ni  0.6667  0.3333  0.3333  3 W 2.55, 3 Au 2.70, 6 Ni 2.77
W  0.0000  0.0000  0.4967  9 W 2.77-2.89, 3 Au 2.88
W  0.0000  0.0000  0.7406  3 Ni 2.55, 6 W 2.77
W  0.3333  0.6667  0.1634  9 W 2.77-2.89, 3 Au 2.88
W  0.3333  0.6667  0.4072  3 Ni 2.55, 6 W 2.77
W  0.6667  0.3333  0.0739  3 Ni 2.55, 6 W 2.77
W  0.6667  0.3333  0.8301  9 W 2.77-2.89, 3 Au 2.88
Au  0.0000  0.0000  0.2524  3 Ni 2.70, 6 Au 2.77, 3 W 2.88
Au  0.3333  0.6667  0.9191  3 Ni 2.70, 6 Au 2.77, 3 W 2.88
Au  0.6667  0.3333  0.5858  3 Ni 2.70, 6 Au 2.77, 3 W 2.88

Computed properties:
- E_form (eV per atom) = 0.35
- SG = R3m
- excess energy over the best structure of this formula in the dataset (meV/atom) = 60
- M_tot (μB/f.u.) = 0.00